1) YNb2Al2: optimized geometry, PBE.

Values from the calculation:
Space-group type ... P4/mbm, No. 127
Magnetization ... 0.70 Bohr magnetons per cell
DOS at the Fermi energy ... 0.5390 states/eV/atom

The structure in POSCAR format:
```
YNb2Al2
1.0
-3.677 6.947 -2.450
-7.364 -3.526 1.053
-0.057 0.940 2.751
Nb Al Y
4 4 2
Cartesian
-3.260 -0.563 0.125
-7.781 3.984 -1.522
-3.104 3.865 -1.385
-7.937 -0.445 -0.012
-5.414 5.043 -0.298
-8.572 2.289 0.578
-5.684 -0.681 1.653
-2.526 2.072 0.777
0.000 0.000 0.000
-5.521 1.710 -0.698
```

***

2) YNb2Al2: optimized geometry, PBE.

Values from the calculation:
Space-group type ... P4/mbm, No. 127
Magnetization ... 0.00 Bohr magnetons per cell
DOS at the Fermi energy ... 0.8901 states/eV/atom

The structure in POSCAR format:
```
YNb2Al2
1.0
-3.251 -4.207 -5.438
1.943 -6.332 3.737
-2.915 0.092 1.672
Al Y Nb
4 2 4
Cartesian
0.475 -7.168 1.222
0.347 -2.910 0.765
-1.783 -3.371 -2.924
-1.655 -7.629 -2.466
0.000 0.000 0.000
-0.654 -5.270 -0.851
-2.039 -8.022 0.266
-0.712 -4.944 2.410
-3.511 -5.504 -2.439
-2.185 -2.425 -0.296
```

***

Which of them is the most stable, and which is the least stable? 2) and 1), in that order.

***

1) Nb2Al2Zn: optimized geometry, PBE.

Values from the calculation:
Space-group type ... P4/mbm, No. 127
Magnetization ... 0.00 Bohr magnetons per cell
DOS at the Fermi energy ... 0.7847 states/eV/atom

The structure in POSCAR format:
```
Nb2Al2Zn
1.0
6.966 0.000 0.000
0.000 6.966 0.000
0.000 0.000 3.743
Al Nb Zn
4 4 2
Cartesian
4.635 5.814 1.872
1.152 4.635 1.872
2.331 1.152 1.872
5.814 2.331 1.872
0.932 2.551 0.000
6.034 4.415 0.000
4.415 0.932 0.000
2.551 6.034 0.000
3.483 3.483 0.000
0.000 0.000 0.000
```

***

2) Nb2Al2Zn: optimized geometry, PBE.

Values from the calculation:
Space-group type ... P4/mbm, No. 127
Magnetization ... 0.00 Bohr magnetons per cell
DOS at the Fermi energy ... 0.7225 states/eV/atom

The structure in POSCAR format:
```
Nb2Al2Zn
1.0
6.637 0.000 0.000
0.000 6.637 0.000
0.000 0.000 3.791
Nb Zn Al
4 2 4
Cartesian
1.145 4.463 1.896
4.463 5.492 1.896
5.492 2.174 1.896
2.174 1.145 1.896
0.000 0.000 0.000
3.318 3.318 0.000
2.450 5.768 0.000
5.768 4.187 0.000
0.869 2.450 0.000
4.187 0.869 0.000
```

***

Which of them is the most stable, and which is the least stable? 2) and 1), in that order.

***

1) ZrNbAl: optimized geometry, PBE.

Values from the calculation:
Space-group type ... P-62m, No. 189
Magnetization ... 0.00 Bohr magnetons per cell
DOS at the Fermi energy ... 0.9870 states/eV/atom

The structure in POSCAR format:
```
ZrNbAl
1.0
3.721 0.000 0.000
0.000 7.387 0.000
0.000 -3.694 6.397
Nb Zr Al
3 3 3
Cartesian
1.860 5.478 0.000
1.860 -2.739 4.744
1.860 0.955 1.653
0.000 -1.460 2.529
0.000 2.920 0.000
0.000 2.234 3.869
1.860 0.000 4.265
1.860 3.694 2.132
0.000 0.000 0.000
```

***

2) ZrNbAl: optimized geometry, PBE.

Values from the calculation:
Space-group type ... I4mm, No. 107
Magnetization ... 0.00 Bohr magnetons per cell
DOS at the Fermi energy ... 0.9595 states/eV/atom

The structure in POSCAR format:
```
ZrNbAl
1.0
2.833 0.000 0.000
0.000 2.833 0.000
-1.417 -1.417 7.763
Nb Al Zr
1 1 1
Cartesian
0.000 0.000 4.457
0.000 0.000 7.138
0.000 0.000 1.603
```

***

Which of them is the most stable, and which is the least stable? 1) and 2), in that order.

***

1) ZrNbAl: optimized geometry, PBE.

Values from the calculation:
Space-group type ... I4/mmm, No. 139
Magnetization ... 0.00 Bohr magnetons per cell
DOS at the Fermi energy ... 1.0746 states/eV/atom

The structure in POSCAR format:
```
ZrNbAl
1.0
-1.239 3.582 -0.931
-3.701 -1.199 0.309
2.464 0.749 7.780
Zr Al Nb
2 2 2
Cartesian
-2.472 1.885 2.359
-0.003 1.246 4.798
-2.474 2.615 5.169
-0.001 0.516 1.988
-0.619 1.791 -0.466
-1.850 -0.600 0.154
```

***

2) ZrNbAl: optimized geometry, PBE.

Values from the calculation:
Space-group type ... P-6m2, No. 187
Magnetization ... 0.00 Bohr magnetons per cell
DOS at the Fermi energy ... 1.0146 states/eV/atom

The structure in POSCAR format:
```
ZrNbAl
1.0
2.896 0.000 0.000
0.000 4.748 0.000
0.000 -2.374 4.112
Al Zr Nb
1 1 1
Cartesian
1.929 0.000 2.741
0.482 0.000 0.000
0.484 2.374 1.371
```

***

Which of them is the most stable, and which is the least stable? 1) and 2), in that order.

***

1) ZrNb2Al2: optimized geometry, PBE.

Values from the calculation:
Space-group type ... P4/mbm, No. 127
Magnetization ... 0.00 Bohr magnetons per cell
DOS at the Fermi energy ... 0.7042 states/eV/atom

The structure in POSCAR format:
```
ZrNb2Al2
1.0
7.245 0.000 0.000
0.000 7.245 0.000
0.000 0.000 3.475
Zr Al Nb
2 4 4
Cartesian
0.000 0.000 0.000
3.622 3.622 0.000
2.730 6.353 0.000
0.892 2.730 0.000
4.514 0.892 0.000
6.353 4.514 0.000
2.361 1.261 1.737
5.984 2.361 1.737
4.883 5.984 1.737
1.261 4.883 1.737
```

***

2) ZrNb2Al2: optimized geometry, PBE.

Values from the calculation:
Space-group type ... P4/mbm, No. 127
Magnetization ... 0.00 Bohr magnetons per cell
DOS at the Fermi energy ... 0.5483 states/eV/atom

The structure in POSCAR format:
```
ZrNb2Al2
1.0
8.086 0.000 0.000
0.000 8.086 0.000
0.000 0.000 2.856
Nb Al Zr
4 4 2
Cartesian
3.100 7.143 0.000
7.143 4.987 0.000
4.987 0.944 0.000
0.944 3.100 0.000
6.637 2.594 1.428
2.594 1.449 1.428
5.493 6.637 1.428
1.449 5.493 1.428
0.000 0.000 0.000
4.043 4.043 0.000
```

***

3) ZrNb2Al2: optimized geometry, PBE.

Values from the calculation:
Space-group type ... I4/mmm, No. 139
Magnetization ... 0.00 Bohr magnetons per cell
DOS at the Fermi energy ... 0.8466 states/eV/atom

The structure in POSCAR format:
```
ZrNb2Al2
1.0
3.806 0.000 0.000
0.000 3.806 0.000
1.903 1.903 6.775
Al Nb Zr
2 2 1
Cartesian
1.903 3.806 3.387
3.806 1.903 3.387
1.903 1.903 1.307
3.806 3.806 5.468
0.000 0.000 0.000
```

***

Which of them is the most stable, and which is the least stable? 1) and 3), in that order.

***

1) Nd3Al: optimized geometry, PBE.

Values from the calculation:
Space-group type ... Pm-3m, No. 221
Magnetization ... 0.00 Bohr magnetons per cell
DOS at the Fermi energy ... 1.6467 states/eV/atom

The structure in POSCAR format:
```
Nd3Al
1.0
4.896 0.000 0.000
0.000 4.896 0.000
0.000 0.000 4.896
Nd Al
3 1
Cartesian
2.448 2.448 0.000
0.000 2.448 2.448
2.448 0.000 2.448
0.000 0.000 0.000
```

***

2) Nd3Al: optimized geometry, PBE.

Values from the calculation:
Space-group type ... Pmm2, No. 25
Magnetization ... 0.00 Bohr magnetons per cell
DOS at the Fermi energy ... 1.1216 states/eV/atom

The structure in POSCAR format:
```
Nd3Al
1.0
3.454 0.000 0.000
0.000 3.523 0.000
0.000 0.000 10.609
Nd Al
3 1
Cartesian
0.000 1.761 4.961
1.727 1.761 1.718
1.727 0.000 7.720
0.000 0.000 10.355
```

***

3) Nd3Al: optimized geometry, PBE.

Values from the calculation:
Space-group type ... P6_3/mmc, No. 194
Magnetization ... 0.00 Bohr magnetons per cell
DOS at the Fermi energy ... 0.9562 states/eV/atom

The structure in POSCAR format:
```
Nd3Al
1.0
7.117 0.000 0.000
-3.558 6.163 0.000
0.000 0.000 5.401
Nd Al
6 2
Cartesian
-1.656 5.065 4.051
0.000 2.197 4.051
5.214 1.098 1.350
1.656 5.065 4.051
1.902 1.098 1.350
3.558 3.966 1.350
0.000 4.109 1.350
3.558 2.054 4.051
```

***

4) Nd3Al: optimized geometry, PBE.

Values from the calculation:
Space-group type ... Fm-3m, No. 225
Magnetization ... 0.49 Bohr magnetons per cell
DOS at the Fermi energy ... 1.9373 states/eV/atom

The structure in POSCAR format:
```
Nd3Al
1.0
5.520 0.000 0.000
2.760 4.781 0.000
2.760 1.594 4.507
Nd Al
3 1
Cartesian
8.280 4.781 3.380
2.760 1.594 1.127
0.000 0.000 0.000
5.520 3.187 2.254
```

***

Which of them is the most stable, and which is the least stable? 3) and 2), in that order.